## MoIr2Rh (PBE-GGA)

Data for crystalline MoIr2Rh at its relaxed geometry.

Crystal system ... orthorhombic
Total magnetic moment ... 0.0000 μB/atom
Calculated total energy ... -0.670 Ry per atom
Formation energy from the elements ... -0.14 eV per atom

Cell lengths 2.7413, 5.2313, 8.5265 Å; angles 90.00, 90.00, 105.19 degrees
With the nearest neighbours (Å) after each atom.
Sites, in units of the cell vectors:
Ir 0.3720 0.7441 0.5245  5 Ir 2.62-2.85, 3 Rh 2.64-2.67, 2 Mo 2.78
Ir 0.6280 0.2559 0.4755  5 Ir 2.62-2.85, 3 Rh 2.64-2.67, 2 Mo 2.78
Mo 0.0165 0.0330 0.7500  3 Rh 2.71, 2 Mo 2.74, 8 Ir 2.78-2.94
Ir 0.6280 0.2559 0.0245  5 Ir 2.62-2.85, 3 Rh 2.64-2.67, 2 Mo 2.78
Rh 0.7480 0.4959 0.7500  6 Ir 2.64-2.67, 3 Mo 2.71, 2 Rh 2.74
Rh 0.2520 0.5041 0.2500  6 Ir 2.64-2.67, 3 Mo 2.71, 2 Rh 2.74
Ir 0.3720 0.7441 0.9755  5 Ir 2.62-2.85, 3 Rh 2.64-2.67, 2 Mo 2.78
Mo 0.9835 0.9670 0.2500  3 Rh 2.71, 2 Mo 2.74, 8 Ir 2.78-2.94